Computed, not measured: NaHfZrMo2 at its PBEsol-relaxed geometry at the meta-GGA SCAN level of DFT.

extended XYZ file:
```
5
Lattice="4.520 0.000 0.000 0.000 4.670 0.000 0.000 0.000 4.670" Properties=species:S:1:pos:R:3 pbc="T T T"
Na 0.000 0.000 0.000
Mo 0.000 0.000 2.335
Mo 0.000 2.335 0.000
Hf 2.260 2.335 2.335
Zr 2.260 0.000 0.000
```

Calculated values
N(E_F) in states/eV/cell: 5.132
E_tot in eV per atom: -31.48
Space group: P4/mmm
Formation energy from the elements in eV/atom: 1.994